Entry 1:
# Tb6Y4Er (GGA-PBE, relaxed)
# formation energy from the elements: 129 meV per atom
data_Tb6Y4Er
_cell_length_a 5.722
_cell_length_b 5.612
_cell_length_c 25.627
_cell_angle_alpha 90.00
_cell_angle_beta 90.00
_cell_angle_gamma 120.66
_symmetry_space_group_name_H-M 'P 1'
_symmetry_Int_Tables_number 1
loop_
_symmetry_equiv_pos_as_xyz
'x,y,z'
loop_
_atom_site_label
_atom_site_type_symbol
_atom_site_fract_x
_atom_site_fract_y
_atom_site_fract_z
Er1 Er 0.806 0.611 0.250
Er2 Er 0.194 0.389 0.750
Y1 Y 0.155 0.310 0.457
Y2 Y 0.155 0.310 0.043
Y3 Y 0.468 0.937 0.122
Y4 Y 0.468 0.937 0.378
Y5 Y 0.532 0.063 0.878
Y6 Y 0.532 0.063 0.622
Y7 Y 0.845 0.690 0.543
Y8 Y 0.845 0.690 0.957
Tb1 Tb 0.529 0.059 0.750
Tb2 Tb 0.193 0.385 0.895
Tb3 Tb 0.807 0.615 0.395
Tb4 Tb 0.862 0.724 0.817
Tb5 Tb 0.138 0.276 0.183
Tb6 Tb 0.500 0.000 0.500
Tb7 Tb 0.471 0.941 0.250
Tb8 Tb 0.193 0.385 0.605
Tb9 Tb 0.500 0.000 0.000
Tb10 Tb 0.138 0.276 0.317
Tb11 Tb 0.807 0.615 0.105
Tb12 Tb 0.862 0.724 0.683



Entry 2:
# Nb2In2Hg (GGA-PBE, relaxed)
# formation energy from the elements: 303 meV per atom
# distance to the lowest polymorph of the same formula: 86 meV per atom
data_Nb2In2Hg
_cell_length_a 8.618
_cell_length_b 8.618
_cell_length_c 2.994
_cell_angle_alpha 90.00
_cell_angle_beta 90.00
_cell_angle_gamma 90.00
_symmetry_space_group_name_H-M 'P 1'
_symmetry_Int_Tables_number 1
loop_
_symmetry_equiv_pos_as_xyz
'x,y,z'
loop_
_atom_site_label
_atom_site_type_symbol
_atom_site_fract_x
_atom_site_fract_y
_atom_site_fract_z
In1 In 0.816 0.684 0.000
In2 In 0.316 0.816 0.000
In3 In 0.184 0.316 0.000
In4 In 0.684 0.184 0.000
Hg1 Hg 0.000 0.000 0.000
Hg2 Hg 0.500 0.500 0.000
Nb1 Nb 0.391 0.109 0.500
Nb2 Nb 0.609 0.891 0.500
Nb3 Nb 0.109 0.609 0.500
Nb4 Nb 0.891 0.391 0.500



Entry 3:
# SrCd2In2 (GGA-PBE, relaxed)
# formation energy from the elements: -213 meV per atom
data_SrCd2In2
_cell_length_a 6.628
_cell_length_b 7.823
_cell_length_c 8.036
_cell_angle_alpha 61.92
_cell_angle_beta 65.84
_cell_angle_gamma 52.96
_symmetry_space_group_name_H-M 'P 1'
_symmetry_Int_Tables_number 1
loop_
_symmetry_equiv_pos_as_xyz
'x,y,z'
loop_
_atom_site_label
_atom_site_type_symbol
_atom_site_fract_x
_atom_site_fract_y
_atom_site_fract_z
In1 In 0.747 0.285 0.610
In2 In 0.486 0.311 0.997
In3 In 0.514 0.689 0.003
In4 In 0.253 0.715 0.390
Cd1 Cd 0.749 0.224 0.272
Cd2 Cd 0.736 0.869 0.625
Cd3 Cd 0.264 0.131 0.375
Cd4 Cd 0.251 0.776 0.728
Sr1 Sr 0.136 0.277 0.806
Sr2 Sr 0.864 0.723 0.194



Entry 4:
# CsDyMgO3 (GGA-PBE, relaxed)
# total energy: -37.3 eV/f.u.
data_CsDyMgO3
_cell_length_a 3.614
_cell_length_b 8.073
_cell_length_c 8.793
_cell_angle_alpha 109.68
_cell_angle_beta 90.00
_cell_angle_gamma 90.00
_symmetry_space_group_name_H-M 'P 1'
_symmetry_Int_Tables_number 1
loop_
_symmetry_equiv_pos_as_xyz
'x,y,z'
loop_
_atom_site_label
_atom_site_type_symbol
_atom_site_fract_x
_atom_site_fract_y
_atom_site_fract_z
O1 O 0.750 0.847 0.151
O2 O 0.250 0.526 0.872
O3 O 0.250 0.153 0.849
O4 O 0.750 0.474 0.128
O5 O 0.250 0.846 0.433
O6 O 0.750 0.154 0.567
Dy1 Dy 0.750 0.339 0.864
Dy2 Dy 0.250 0.661 0.136
Cs1 Cs 0.750 0.788 0.782
Cs2 Cs 0.250 0.212 0.218
Mg1 Mg 0.750 0.918 0.387
Mg2 Mg 0.250 0.082 0.613